{"formula": "Ba3TiMn", "functional": "PBE", "state": "relaxed", "lattice_angstrom": [[6.133, 0.000, 0.000], [0.000, 6.133, 0.000], [0.000, 0.000, 6.133]], "species": ["Ba", "Ba", "Ba", "Ti", "Mn"], "frac_coords": [[0.000, 0.000, 0.500], [0.000, 0.500, 0.000], [0.500, 0.000, 0.000], [0.000, 0.000, 0.000], [0.500, 0.500, 0.500]], "formation_enthalpy_0k_kj_per_mol_atoms": 99.8}

---

{"formula": "La3TlF", "functional": "PBE", "state": "relaxed", "lattice_angstrom": [[5.156, 0.000, 0.000], [0.000, 5.156, 0.000], [0.000, 0.000, 5.156]], "species": ["La", "La", "La", "Tl", "F"], "frac_coords": [[0.000, 0.000, 0.500], [0.000, 0.500, 0.000], [0.500, 0.000, 0.000], [0.500, 0.500, 0.500], [0.000, 0.000, 0.000]], "raw_formation_energy_ev_per_atom": -1.144}

---

{"formula": "AcZnF", "functional": "PBE", "state": "relaxed", "lattice_angstrom": [[-1.866, 1.866, 5.491], [1.866, -1.866, 5.491], [1.866, 1.866, -5.491]], "species": ["Ac", "Zn", "F"], "frac_coords": [[0.000, 0.000, 0.000], [0.707, 0.707, 0.000], [0.457, 0.457, 0.000]], "raw_formation_energy_ev_per_atom": -1.382}

---

{"formula": "LiThAs2", "functional": "PBE", "state": "relaxed", "lattice_angstrom": [[4.768, 0.000, 0.000], [0.000, 4.768, 0.000], [0.000, 0.000, 3.838]], "species": ["Li", "Th", "As", "As"], "frac_coords": [[0.000, 0.000, 0.000], [0.500, 0.500, 0.000], [0.000, 0.500, 0.500], [0.500, 0.000, 0.500]], "formation_enthalpy_0k_kj_per_mol_atoms": -80.0}

---

{"formula": "K3Ce2HoSe6", "functional": "PBE", "state": "relaxed", "lattice_angstrom": [[3.743, -6.484, 0.000], [3.743, 6.484, 0.000], [-2.498, 0.000, 7.668]], "species": ["K", "K", "K", "Ce", "Ce", "Ho", "Se", "Se", "Se", "Se", "Se", "Se"], "frac_coords": [[0.000, 0.000, 0.000], [0.332, 0.668, 0.000], [0.668, 0.332, 0.000], [0.167, 0.833, 0.500], [0.833, 0.167, 0.500], [0.500, 0.500, 0.500], [0.106, 0.431, 0.292], [0.245, 0.245, 0.708], [0.431, 0.106, 0.292], [0.569, 0.894, 0.708], [0.755, 0.755, 0.292], [0.894, 0.569, 0.708]], "raw_formation_energy_ev_per_atom": -1.709}

---

{"formula": "Be2NbBiPd", "functional": "PBE", "state": "relaxed", "lattice_angstrom": [[4.485, 0.000, 0.000], [0.000, 4.485, 0.000], [0.000, 0.000, 5.408]], "species": ["Be", "Be", "Nb", "Bi", "Pd"], "frac_coords": [[0.000, 0.500, 0.000], [0.500, 0.000, 0.000], [0.000, 0.000, 0.500], [0.000, 0.000, 0.000], [0.500, 0.500, 0.500]], "formation_enthalpy_0k_kj_per_mol_atoms": 154.0}

---

{"formula": "Tm12InNi6", "functional": "PBE", "state": "relaxed", "lattice_angstrom": [[-4.780, 4.780, 4.780], [4.780, -4.780, 4.780], [4.780, 4.780, -4.780]], "species": ["Tm", "Tm", "Tm", "Tm", "Tm", "Tm", "Tm", "Tm", "Tm", "Tm", "Tm", "Tm", "In", "Ni", "Ni", "Ni", "Ni", "Ni", "Ni"], "frac_coords": [[0.114, 0.812, 0.302], [0.188, 0.302, 0.490], [0.188, 0.698, 0.886], [0.302, 0.114, 0.812], [0.302, 0.490, 0.188], [0.490, 0.188, 0.302], [0.510, 0.812, 0.698], [0.698, 0.510, 0.812], [0.698, 0.886, 0.188], [0.812, 0.302, 0.114], [0.812, 0.698, 0.510], [0.886, 0.188, 0.698], [0.000, 0.000, 0.000], [0.124, 0.624, 0.500], [0.376, 0.500, 0.876], [0.500, 0.124, 0.624], [0.500, 0.876, 0.376], [0.624, 0.500, 0.124], [0.876, 0.376, 0.500]], "formation_enthalpy_0k_kj_per_mol_atoms": -38.2}

---

{"formula": "LiFeTe", "functional": "PBE", "state": "relaxed", "lattice_angstrom": [[4.041, 0.000, 0.000], [0.000, 4.041, 0.000], [0.000, 0.000, 6.274]], "species": ["Li", "Li", "Fe", "Fe", "Te", "Te"], "frac_coords": [[0.250, 0.250, 0.202], [0.750, 0.750, 0.798], [0.250, 0.750, 0.500], [0.750, 0.250, 0.500], [0.250, 0.250, 0.741], [0.750, 0.750, 0.259]], "raw_formation_energy_ev_per_atom": -0.267}

---

{"formula": "Ac3Cd4Sn4", "functional": "PBE", "state": "relaxed", "lattice_angstrom": [[-2.312, 2.433, 14.599], [2.312, -2.433, 14.599], [2.312, 2.433, -14.599]], "species": ["Ac", "Ac", "Ac", "Cd", "Cd", "Cd", "Cd", "Sn", "Sn", "Sn", "Sn"], "frac_coords": [[0.000, 0.000, 0.000], [0.356, 0.856, 0.500], [0.644, 0.144, 0.500], [0.094, 0.594, 0.500], [0.252, 0.252, 0.000], [0.748, 0.748, 0.000], [0.906, 0.406, 0.500], [0.190, 0.690, 0.500], [0.451, 0.451, 0.000], [0.549, 0.549, 0.000], [0.810, 0.310, 0.500]], "formation_enthalpy_0k_kj_per_mol_atoms": -43.3}

---

Please write out number 8 again, unchanged.
{"formula": "LiFeTe", "functional": "PBE", "state": "relaxed", "lattice_angstrom": [[4.041, 0.000, 0.000], [0.000, 4.041, 0.000], [0.000, 0.000, 6.274]], "species": ["Li", "Li", "Fe", "Fe", "Te", "Te"], "frac_coords": [[0.250, 0.250, 0.202], [0.750, 0.750, 0.798], [0.250, 0.750, 0.500], [0.750, 0.250, 0.500], [0.250, 0.250, 0.741], [0.750, 0.750, 0.259]], "raw_formation_energy_ev_per_atom": -0.267}